Record 1
A geometry-optimized Ho3Fe7Co2 structure. Source: OQMD, functional PBE-GGA.

magnetization = 48.8 μB/cell

Geometry as CIF:
```
data_Ho3Fe7Co2
_space_group_name_H-M_alt 'R -3 m'
_space_group_IT_number 166
_space_group_name_Hall '-R 3 2"'
_cell_length_a 5.0248
_cell_length_b 5.0248
_cell_length_c 24.2997
_cell_angle_alpha 90.00
_cell_angle_beta 90.00
_cell_angle_gamma 120.00
loop_
_atom_site_label
_atom_site_type_symbol
_atom_site_fract_x
_atom_site_fract_y
_atom_site_fract_z
Ho1 Ho 0.0000 0.0000 0.0000
Ho2 Ho 0.0000 0.0000 0.1420
Fe1 Fe 0.0000 0.0000 0.5000
Fe2 Fe 0.0007 0.5004 0.0816
Co1 Co 0.0000 0.0000 0.3326
```

Record 2
A geometry-optimized AgAsOs structure. Source: OQMD, functional PBE-GGA.

magnetization = 0.0 μB/cell

Geometry as CIF:
```
data_AgAsOs
_space_group_name_H-M_alt 'F -4 3 m'
_space_group_IT_number 216
_space_group_name_Hall 'F -4 2 3'
_cell_length_a 5.937
_cell_length_b 5.937
_cell_length_c 5.937
_cell_angle_alpha 90.00
_cell_angle_beta 90.00
_cell_angle_gamma 90.00
loop_
_atom_site_label
_atom_site_type_symbol
_atom_site_fract_x
_atom_site_fract_y
_atom_site_fract_z
Ag1 Ag 0.000 0.000 0.000
As1 As 0.250 0.250 0.250
Os1 Os 0.000 0.000 0.500
```

| no. | total energy (eV/f.u.) |
| --- | --- |
| 1 | -87.405 |
| 2 | -16.819 |